Here is crystalline AcDy2Cd6 at its relaxed geometry from Alexandria via LeMat-Bulk. Energies are from PBE.

Cell lengths 3.550, 8.761, 8.761 Å; angles 120.00, 90.00, 90.00 degrees
Fractional coordinates of all 9 atoms:
Ac 0.000 0.000 0.000
Dy 0.000 0.333 0.667
Dy 0.000 0.667 0.333
Cd 0.500 0.340 0.340
Cd 0.500 0.660 0.660
Cd 0.500 0.000 0.660
Cd 0.500 0.660 0.000
Cd 0.500 0.340 0.000
Cd 0.500 0.000 0.340

For the formation energy, the calculation gives -2.659 eV/f.u. Its electronic total energy is -21.46 eV per formula unit. The value obtained for the theoretical density is 8.63 Mg/m³.